Compound: BWSe2Br
Source: Alexandria via LeMat-Bulk
Functional: PBE
Structure: relaxed

## Properties
Energy relative to the elements, uncorrected (meV/atom): 1293
Distance to the lowest polymorph of the same formula (meV per atom): 651
DOS(E_F) (states/eV/f.u.): 2.2
SG: P4/mmm, No. 123
Total DFT energy (no corrections) (Ry per atom): -0.321
Spin magnetization (μB/cell): 2.8

Cell and atoms, written as POSCAR:
```
BWSe2Br
1.0
4.529 0.000 0.000
0.000 4.529 0.000
0.000 0.000 4.375
Se Br W B
2 1 1 1
direct
0.500 0.000 0.000 Se
0.000 0.500 0.000 Se
0.000 0.000 0.500 Br
0.500 0.500 0.500 W
0.000 0.000 0.000 B
```


Compound: Co2P2N
Source: Alexandria via LeMat-Bulk
Functional: PBE
Structure: relaxed

## Properties
Energy relative to the elements, uncorrected (meV/atom): 0
Distance to the lowest polymorph of the same formula (meV per atom): 263
DOS(E_F) (states/eV/f.u.): 3.9
SG: R3m, No. 160
Total DFT energy (no corrections) (Ry per atom): -0.490
Spin magnetization (μB/cell): 0.0

Cell and atoms, written as POSCAR:
```
Co2P2N
1.0
-1.933 0.144 2.228
-0.572 -1.703 -2.344
10.267 -17.240 10.022
Co N P
6 3 6
direct
0.667 0.333 0.515 Co
0.333 0.667 0.848 Co
0.000 0.000 0.354 Co
0.333 0.667 0.021 Co
0.667 0.333 0.687 Co
0.000 0.000 0.182 Co
0.667 0.333 0.979 N
0.000 0.000 0.645 N
0.333 0.667 0.312 N
0.333 0.667 0.432 P
0.667 0.333 0.099 P
0.000 0.000 0.571 P
0.667 0.333 0.904 P
0.333 0.667 0.237 P
0.000 0.000 0.765 P
```


Compound: Sm2HoScS4
Source: Alexandria via LeMat-Bulk
Functional: PBE
Structure: relaxed

## Properties
Energy relative to the elements, uncorrected (meV/atom): -1959
DOS(E_F) (states/eV/f.u.): 4.4
SG: P2/m, No. 10
Total DFT energy (no corrections) (Ry per atom): -0.483
Spin magnetization (μB/cell): 0.0

Cell and atoms, written as POSCAR:
```
Sm2HoScS4
1.0
-2.072 -1.313 -2.974
-4.519 -2.536 4.269
-1.805 6.434 -1.583
S Sm Ho Sc
4 2 1 1
direct
0.500 0.236 0.229 S
0.500 0.764 0.771 S
0.000 0.249 0.767 S
0.000 0.751 0.233 S
0.000 0.500 0.500 Sm
0.500 0.000 0.500 Sm
0.500 0.500 0.000 Ho
0.000 0.000 0.000 Sc
```


Compound: Ac2OsPd
Source: Alexandria via LeMat-Bulk
Functional: PBE
Structure: relaxed

## Properties
Calculated formation energy (eV per atom): 0.300
DOS(E_F) (states/eV/f.u.): 1.5
SG: R-3m, No. 166
Total DFT energy (no corrections) (Ry per atom): -0.431
Spin magnetization (μB/cell): 0.0

Cell and atoms, written as POSCAR:
```
Ac2OsPd
1.0
-0.741 -3.778 1.802
-1.179 -3.305 -2.400
7.977 -4.600 -1.350
Ac Os Pd
2 1 1
direct
0.894 0.894 0.318 Ac
0.106 0.106 0.682 Ac
0.500 0.500 0.500 Os
0.000 0.000 0.000 Pd
```


Compound: Ba2SrYSe4
Source: Alexandria via LeMat-Bulk
Functional: PBE
Structure: relaxed

## Properties
Energy relative to the elements, uncorrected (meV/atom): -1953
DOS(E_F) (states/eV/f.u.): 2.8
SG: P2/m, No. 10
Total DFT energy (no corrections) (Ry per atom): -0.382
Spin magnetization (μB/cell): 0.0

Cell and atoms, written as POSCAR:
```
Ba2SrYSe4
1.0
4.429 0.000 0.000
0.000 7.705 0.148
0.000 -2.682 7.352
Se Sr Y Ba
4 1 1 2
direct
0.000 0.272 0.782 Se
0.500 0.745 0.776 Se
0.000 0.728 0.218 Se
0.500 0.255 0.224 Se
0.000 0.000 0.000 Sr
0.500 0.500 0.000 Y
0.500 0.000 0.500 Ba
0.000 0.500 0.500 Ba
```


Compound: LiCd14Hg
Source: Alexandria via LeMat-Bulk
Functional: PBE
Structure: relaxed

## Properties
Calculated formation energy (eV per atom): -0.040
DOS(E_F) (states/eV/f.u.): 2.8
SG: Amm2, No. 38
Total DFT energy (no corrections) (Ry per atom): -0.072
Spin magnetization (μB/cell): 0.0

Cell and atoms, written as POSCAR:
```
LiCd14Hg
1.0
6.226 -0.435 0.000
-2.840 5.557 0.000
0.000 0.000 10.621
Cd Li Hg
14 1 1
direct
0.878 0.122 0.742 Cd
0.054 0.449 0.500 Cd
0.876 0.627 0.256 Cd
0.373 0.124 0.744 Cd
0.699 0.805 0.000 Cd
0.878 0.122 0.258 Cd
0.373 0.627 0.247 Cd
0.697 0.303 0.000 Cd
0.876 0.627 0.744 Cd
0.551 0.946 0.500 Cd
0.197 0.803 0.000 Cd
0.195 0.301 0.000 Cd
0.373 0.627 0.753 Cd
0.373 0.124 0.256 Cd
0.051 0.949 0.500 Li
0.555 0.445 0.500 Hg
```


Compound: Pm2ScHg8
Source: Alexandria via LeMat-Bulk
Functional: PBE
Structure: relaxed

## Properties
Calculated formation energy (eV per atom): -0.303
DOS(E_F) (states/eV/f.u.): 5.7
SG: C2/m, No. 12
Total DFT energy (no corrections) (Ry per atom): -0.144
Spin magnetization (μB/cell): 0.0

Cell and atoms, written as POSCAR:
```
Pm2ScHg8
1.0
-2.293 -0.509 -4.504
-1.377 -6.889 1.480
-4.773 4.861 4.745
Hg Pm Sc
8 2 1
direct
0.598 0.432 0.196 Hg
0.155 0.162 0.310 Hg
0.658 0.883 0.315 Hg
0.402 0.568 0.804 Hg
0.015 0.732 0.030 Hg
0.985 0.268 0.970 Hg
0.845 0.838 0.690 Hg
0.342 0.117 0.685 Hg
0.208 0.663 0.415 Pm
0.792 0.337 0.585 Pm
0.500 0.000 0.000 Sc
```


Compound: NiSbPd5
Source: Alexandria via LeMat-Bulk
Functional: PBE
Structure: relaxed

## Properties
Energy relative to the elements, uncorrected (meV/atom): 542
DOS(E_F) (states/eV/f.u.): 10.0
SG: Imm2, No. 44
Total DFT energy (no corrections) (Ry per atom): -0.337
Spin magnetization (μB/cell): 0.8

Cell and atoms, written as POSCAR:
```
NiSbPd5
1.0
7.301 0.000 0.000
0.000 5.274 0.000
-3.650 -2.637 4.403
Pd Sb Ni
5 1 1
direct
0.129 0.746 0.000 Pd
0.355 0.255 0.511 Pd
0.844 0.745 0.489 Pd
0.129 0.254 0.000 Pd
0.807 0.500 0.000 Pd
0.429 0.500 0.000 Sb
0.837 0.000 0.000 Ni
```


Compound: Nd4Ag3Pt
Source: Alexandria via LeMat-Bulk
Functional: PBE
Structure: relaxed

## Properties
Calculated formation energy (eV per atom): -0.459
DOS(E_F) (states/eV/f.u.): 7.5
SG: P4/mmm, No. 123
Total DFT energy (no corrections) (Ry per atom): -0.343
Spin magnetization (μB/cell): 0.0

Cell and atoms, written as POSCAR:
```
Nd4Ag3Pt
1.0
-3.049 -1.873 -0.987
2.113 -2.803 -1.207
-0.548 -6.248 13.553
Nd Ag Pt
4 3 1
direct
0.000 0.000 0.114 Nd
0.000 0.000 0.886 Nd
0.000 0.000 0.628 Nd
0.000 0.000 0.372 Nd
0.500 0.500 0.247 Ag
0.500 0.500 0.500 Ag
0.500 0.500 0.753 Ag
0.500 0.500 0.000 Pt
```


What is the total DFT energy (no corrections) in the second record?
-0.490 Ry per atom


What is the spin magnetization in the second record?
0.0 μB/cell


What is the formula in the eighth record?
NiSbPd5


What did the sixth record say?
Compound: LiCd14Hg
Source: Alexandria via LeMat-Bulk
Functional: PBE
Structure: relaxed

## Properties
Calculated formation energy (eV per atom): -0.040
DOS(E_F) (states/eV/f.u.): 2.8
SG: Amm2, No. 38
Total DFT energy (no corrections) (Ry per atom): -0.072
Spin magnetization (μB/cell): 0.0

Cell and atoms, written as POSCAR:
```
LiCd14Hg
1.0
6.226 -0.435 0.000
-2.840 5.557 0.000
0.000 0.000 10.621
Cd Li Hg
14 1 1
direct
0.878 0.122 0.742 Cd
0.054 0.449 0.500 Cd
0.876 0.627 0.256 Cd
0.373 0.124 0.744 Cd
0.699 0.805 0.000 Cd
0.878 0.122 0.258 Cd
0.373 0.627 0.247 Cd
0.697 0.303 0.000 Cd
0.876 0.627 0.744 Cd
0.551 0.946 0.500 Cd
0.197 0.803 0.000 Cd
0.195 0.301 0.000 Cd
0.373 0.627 0.753 Cd
0.373 0.124 0.256 Cd
0.051 0.949 0.500 Li
0.555 0.445 0.500 Hg
```